No. 1
Below is a geometry-optimized LaYSbS structure, with properties calculated at the GGA-PBE level.

a b c (Å): 4.9952 4.9952 33.5302
angles (deg): 90.00 90.00 120.00
Space group R-3m (No. 166, hexagonal axes)
Symmetry-distinct sites (fractional):
La 0.0000 0.0000 0.2047 (multiplicity 6)
Y 0.0000 0.0000 0.3766 (multiplicity 6)
Sb 0.0000 0.0000 0.0973 (multiplicity 6)
S 0.0000 0.0000 0.2973 (multiplicity 6)

Calculated values
Uncorrected formation energy (meV/atom): -1283.2
Calculated density (Mg/m³): 5.248
Raw total energy (eV/atom): -6.194

---

No. 2
Below is a geometry-optimized KRbCdSn structure, with properties calculated at the GGA-PBE level.

a b c (Å): 8.1159 8.1159 8.1159
angles (deg): 90.00 90.00 90.00
Space group F-43m (No. 216)
Symmetry-distinct sites (fractional):
K 0.0000 0.0000 0.0000 (multiplicity 4)
Rb 0.2500 0.2500 0.2500 (multiplicity 4)
Cd 0.0000 0.0000 0.5000 (multiplicity 4)
Sn 0.2500 0.2500 0.7500 (multiplicity 4)

Calculated values
Formation energy (kJ/mol of atoms): -7
Calculated density (Mg/m³): 4.419
Raw total energy (eV/atom): -1.815

---

No. 3
Below is a geometry-optimized U3Bi5S12 structure, with properties calculated at the GGA-PBE level.

a b c (Å): 16.4305 16.4305 16.4305
angles (deg): 90.00 90.00 90.00
Space group Ia-3d (No. 230)
Symmetry-distinct sites (fractional):
U 0.0000 0.2500 0.1250 (multiplicity 24)
Bi 0.0000 0.0000 0.0000 (multiplicity 16)
Bi 0.0000 0.2500 0.3750 (multiplicity 24)
S 0.0145 0.0722 0.6543 (multiplicity 96)

Calculated values
Uncorrected formation energy (meV/atom): -526.5
Calculated density (Mg/m³): 6.420
Raw total energy (eV/atom): -5.666

---

No. 4
Below is a geometry-optimized NaZrNb2Zn structure, with properties calculated at the GGA-PBE level.

a b c (Å): 4.9645 4.9645 5.4169
angles (deg): 90.00 90.00 90.00
Space group P4/mmm (No. 123)
Symmetry-distinct sites (fractional):
Na 0.0000 0.0000 0.0000 (multiplicity 1)
Zr 0.0000 0.0000 0.5000 (multiplicity 1)
Nb 0.0000 0.5000 0.5000 (multiplicity 2)
Zn 0.5000 0.5000 0.0000 (multiplicity 1)

Calculated values
Formation energy (kJ/mol of atoms): 151
Calculated density (Mg/m³): 4.545
Raw total energy (eV/atom): -4.686

---

No. 5
Below is a geometry-optimized TbNdSc4 structure, with properties calculated at the GGA-PBE level.

a b c (Å): 3.4103 17.6042 10.9272
angles (deg): 90.00 90.00 90.00
Space group Cmc2_1 (No. 36)
Symmetry-distinct sites (fractional):
Tb 0.0000 0.1620 0.0000 (multiplicity 4)
Nd 0.0000 0.2806 0.7602 (multiplicity 4)
Sc 0.0000 0.0507 0.2586 (multiplicity 4)
Sc 0.0000 0.1618 0.5153 (multiplicity 4)
Sc 0.0000 0.3955 0.2531 (multiplicity 4)
Sc 0.0000 0.4962 0.0072 (multiplicity 4)

Calculated values
Formation energy (kJ/mol of atoms): 5
Calculated density (Mg/m³): 4.890
Raw total energy (eV/atom): -5.738

---

No. 6
Below is a geometry-optimized HoTl2Sb2O6 structure, with properties calculated at the GGA-PBE level.

a b c (Å): 10.0344 6.1891 7.8878
angles (deg): 90.00 116.40 90.00
Space group C2/m (No. 12)
Symmetry-distinct sites (fractional):
Ho 0.0000 0.0000 0.0000 (multiplicity 2)
Tl 0.2160 0.0000 0.7055 (multiplicity 4)
Sb 0.0644 0.5000 0.7404 (multiplicity 4)
O 0.0490 0.2667 0.2183 (multiplicity 8)
O 0.2400 0.0000 0.0422 (multiplicity 4)

Calculated values
Uncorrected formation energy (meV/atom): -1572.3
Calculated density (Mg/m³): 6.912
Raw total energy (eV/atom): -5.873

---

No. 7
Below is a geometry-optimized HgHSN2 structure, with properties calculated at the GGA-PBE level.

a b c (Å): 4.3161 4.3161 3.1238
angles (deg): 90.00 90.00 90.00
Space group P4/mmm (No. 123)
Symmetry-distinct sites (fractional):
Hg 0.0000 0.0000 0.0000 (multiplicity 1)
H 0.5000 0.5000 0.5000 (multiplicity 1)
S 0.5000 0.5000 0.0000 (multiplicity 1)
N 0.0000 0.5000 0.5000 (multiplicity 2)

Calculated values
Calculated density (Mg/m³): 7.467
Raw total energy (eV/atom): -2.785

---

No. 8
Below is a geometry-optimized ZrBe4Si structure, with properties calculated at the GGA-PBE level.

a b c (Å): 6.5199 6.5199 6.5199
angles (deg): 90.00 90.00 90.00
Space group F-43m (No. 216)
Symmetry-distinct sites (fractional):
Zr 0.0000 0.0000 0.0000 (multiplicity 4)
Be 0.1264 0.1264 0.6264 (multiplicity 16)
Si 0.2500 0.2500 0.2500 (multiplicity 4)

Calculated values
Uncorrected formation energy (meV/atom): 140.4
Calculated density (Mg/m³): 3.723
Raw total energy (eV/atom): -4.672

---

No. 9
Below is a geometry-optimized KCuBr2 structure, with properties calculated at the GGA-PBE level.

a b c (Å): 3.7706 4.7648 5.9520
angles (deg): 90.00 90.00 90.00
Space group Pmmm (No. 47)
Symmetry-distinct sites (fractional):
K 0.0000 0.0000 0.0000 (multiplicity 1)
Cu 0.0000 0.5000 0.5000 (multiplicity 1)
Br 0.5000 0.0000 0.5000 (multiplicity 1)
Br 0.5000 0.5000 0.0000 (multiplicity 1)

Calculated values
Uncorrected formation energy (meV/atom): -568.4
Calculated density (Mg/m³): 4.075
Raw total energy (eV/atom): -2.703

---

No. 10
Below is a geometry-optimized Cs4H2Se2N structure, with properties calculated at the GGA-PBE level.

a b c (Å): 12.2473 8.8928 6.2011
angles (deg): 90.00 91.04 90.00
Space group C2/m (No. 12)
Symmetry-distinct sites (fractional):
Cs 0.1184 0.2293 0.2460 (multiplicity 8)
H 0.0715 0.5000 0.9273 (multiplicity 4)
Se 0.1491 0.0000 0.7508 (multiplicity 4)
N 0.0000 0.5000 0.0000 (multiplicity 2)

Calculated values
Calculated density (Mg/m³): 3.470
Raw total energy (eV/atom): -3.316

---

No. 11
Below is a geometry-optimized LiTl3Ge structure, with properties calculated at the GGA-PBE level.

a b c (Å): 5.1475 5.1475 5.1475
angles (deg): 90.00 90.00 90.00
Space group Pm-3m (No. 221)
Symmetry-distinct sites (fractional):
Li 0.0000 0.0000 0.0000 (multiplicity 1)
Tl 0.0000 0.0000 0.5000 (multiplicity 3)
Ge 0.5000 0.5000 0.5000 (multiplicity 1)

Calculated values
Formation energy (kJ/mol of atoms): 29
Calculated density (Mg/m³): 8.434
Raw total energy (eV/atom): -2.424

---

No. 12
Below is a geometry-optimized CaFeRu2 structure, with properties calculated at the GGA-PBE level.

a b c (Å): 3.0180 4.6054 9.3682
angles (deg): 90.00 90.00 90.00
Space group Imm2 (No. 44)
Symmetry-distinct sites (fractional):
Ca 0.0000 0.0000 0.0000 (multiplicity 2)
Fe 0.0000 0.5000 0.2258 (multiplicity 2)
Ru 0.0000 0.0000 0.5039 (multiplicity 2)
Ru 0.0000 0.5000 0.7730 (multiplicity 2)

Calculated values
Formation energy (kJ/mol of atoms): 44
Calculated density (Mg/m³): 7.602
Raw total energy (eV/atom): -6.803

---

Question: The highest calculated density belongs to which entry?
Answer: LiTl3Ge

---

Question: Look up the calculated density of the twelfth one.
Answer: 7.602 Mg/m³